Compound: Sr2OsAuSe
Source: Alexandria
Functional: PBE
Structure: relaxed

Values from the calculation:
Total magnetic moment (μB/atom): 0.000
Electronic total energy (eV/atom): -4.477
Calculated volume (Å³/cell): 159.9
Raw formation energy (eV per formula unit): -1.03

a = 5.9115 Å, b = 5.9115 Å, c = 4.5766 Å
α = 90.00°, β = 90.00°, γ = 90.00°
Space group P4/mmm (No. 123)
Asymmetric unit:
Sr1 0.0000 0.5000 0.0000 x2
Os1 0.0000 0.0000 0.0000 x1
Au1 0.5000 0.5000 0.5000 x1
Se1 0.0000 0.0000 0.5000 x1


Compound: Sm4Cd
Source: Alexandria
Functional: PBE
Structure: relaxed

Values from the calculation:
Total magnetic moment (μB/atom): 0.000
Electronic total energy (eV/atom): -3.564
ΔH_f (0 K) (meV/atom): 394.2
Calculated volume (Å³/cell): 192.4
ΔE to the lowest computed polymorph (eV per atom): 0.508

a = 5.7731 Å, b = 5.7731 Å, c = 5.7731 Å
α = 90.00°, β = 90.00°, γ = 90.00°
Space group Pm-3m (No. 221)
Asymmetric unit:
Sm1 0.0000 0.0000 0.0000 x1
Sm2 0.0000 0.5000 0.5000 x3
Cd1 0.5000 0.5000 0.5000 x1


Compound: NpGa4IrRh2
Source: Alexandria
Functional: PBE
Structure: relaxed

Values from the calculation:
Total magnetic moment (μB/atom): 0.519
Electronic total energy (eV/atom): -6.488
ΔH_f (0 K) (meV/atom): -411.3
Calculated volume (Å³/cell): 404.6

a = 4.2444 Å, b = 4.2444 Å, c = 25.9323 Å
α = 90.00°, β = 90.00°, γ = 120.00°
Space group R-3m (No. 166, hexagonal axes)
Asymmetric unit:
Np1 0.0000 0.0000 0.0000 x3
Ga1 0.0000 0.0000 0.1308 x6
Ga2 0.0000 0.0000 0.3989 x6
Ir1 0.0000 0.0000 0.5000 x3
Rh1 0.0000 0.0000 0.2350 x6


Compound: NaMgHPt2
Source: Alexandria
Functional: PBE
Structure: relaxed

Values from the calculation:
Total magnetic moment (μB/atom): 0.000
Electronic total energy (eV/atom): -4.034
Calculated volume (Å³/cell): 68.9

a = 4.0628 Å, b = 4.0628 Å, c = 4.1719 Å
α = 90.00°, β = 90.00°, γ = 90.00°
Space group P4/mmm (No. 123)
Asymmetric unit:
Na1 0.0000 0.0000 0.0000 x1
Mg1 0.5000 0.5000 0.0000 x1
H1 0.0000 0.0000 0.5000 x1
Pt1 0.0000 0.5000 0.5000 x2


Compound: PrHgPd2
Source: Alexandria
Functional: PBE
Structure: relaxed

Values from the calculation:
Total magnetic moment (μB/atom): 0.000
Electronic total energy (eV/atom): -4.408
ΔH_f (0 K) (meV/atom): -540.8
Calculated volume (Å³/cell): 353.6

a = 7.5974 Å, b = 7.2829 Å, c = 6.3914 Å
α = 90.00°, β = 90.00°, γ = 90.00°
Space group Pnma (No. 62)
Asymmetric unit:
Pr1 0.0333 0.2500 0.1679 x4
Hg1 0.1039 0.7500 0.3250 x4
Pd1 0.1977 0.0518 0.5498 x8


Compound: Tb4Pm2DyTm2
Source: Alexandria
Functional: PBE
Structure: relaxed

Values from the calculation:
Total magnetic moment (μB/atom): 0.000
Electronic total energy (eV/atom): -4.599
ΔH_f (0 K) (meV/atom): 19.8
Calculated volume (Å³/cell): 575.0

a = 15.1243 Å, b = 5.0333 Å, c = 7.9639 Å
α = 90.00°, β = 108.47°, γ = 90.00°
Space group C2/m (No. 12)
Asymmetric unit:
Tb1 0.0559 0.0000 0.3312 x4
Tb2 0.2213 0.5000 0.3310 x4
Pm1 0.1114 0.5000 0.6675 x4
Dy1 0.0000 0.5000 0.0000 x2
Tm1 0.1670 0.0000 0.0005 x4


Compound: TlBr2
Source: Alexandria
Functional: PBE
Structure: relaxed

Values from the calculation:
Total magnetic moment (μB/atom): 0.000
Electronic total energy (eV/atom): -2.290
Calculated volume (Å³/cell): 387.1
Raw formation energy (eV per formula unit): -1.16

a = 4.7820 Å, b = 6.5759 Å, c = 12.3115 Å
α = 90.00°, β = 90.00°, γ = 90.00°
Space group Fmmm (No. 69)
Asymmetric unit:
Tl1 0.0000 0.0000 0.0000 x4
Br1 0.0000 0.0000 0.3518 x8


Compound: Sr2FeTeIr
Source: Alexandria
Functional: PBE
Structure: relaxed

Values from the calculation:
Total magnetic moment (μB/atom): 0.602
Electronic total energy (eV/atom): -4.170
Calculated volume (Å³/cell): 185.8
Raw formation energy (eV per formula unit): 2.98

a = 6.1795 Å, b = 6.1795 Å, c = 4.8647 Å
α = 90.00°, β = 90.00°, γ = 90.00°
Space group P4/mmm (No. 123)
Asymmetric unit:
Sr1 0.0000 0.5000 0.0000 x2
Fe1 0.0000 0.0000 0.5000 x1
Te1 0.5000 0.5000 0.0000 x1
Ir1 0.5000 0.5000 0.5000 x1


Compound: Nd5Dy5Y
Source: Alexandria
Functional: PBE
Structure: relaxed

Values from the calculation:
Total magnetic moment (μB/atom): 0.000
Electronic total energy (eV/atom): -4.561
ΔH_f (0 K) (meV/atom): 285.7
Calculated volume (Å³/cell): 384.2

a = 6.1461 Å, b = 6.1461 Å, c = 11.7442 Å
α = 90.00°, β = 90.00°, γ = 120.00°
Space group P-6m2 (No. 187)
Asymmetric unit:
Nd1 0.0000 0.0000 0.0000 x1
Nd2 0.3333 0.6667 0.3165 x2
Nd3 0.6667 0.3333 0.1546 x2
Dy1 0.0000 0.0000 0.2655 x2
Dy2 0.3339 0.1670 0.5000 x3
Y1 0.3333 0.6667 0.0000 x1


Compound: LaPm12Dy7
Source: Alexandria
Functional: PBE
Structure: relaxed

Values from the calculation:
Total magnetic moment (μB/atom): 0.000
Electronic total energy (eV/atom): -4.051
ΔH_f (0 K) (meV/atom): 656.5
Calculated volume (Å³/cell): 1542.6
ΔE to the lowest computed polymorph (eV per atom): 0.429

a = 11.5544 Å, b = 11.5544 Å, c = 11.5544 Å
α = 90.00°, β = 90.00°, γ = 90.00°
Space group Im-3 (No. 204)
Asymmetric unit:
La1 0.0000 0.0000 0.0000 x2
Pm1 0.0000 0.2565 0.2552 x24
Dy1 0.0000 0.0000 0.5000 x6
Dy2 0.2500 0.2500 0.2500 x8


Compound: Al2IrRu
Source: Alexandria
Functional: PBE
Structure: relaxed

Values from the calculation:
Total magnetic moment (μB/atom): 0.227
Electronic total energy (eV/atom): -6.610
ΔH_f (0 K) (meV/atom): -204.3
Calculated volume (Å³/cell): 232.3

a = 6.1470 Å, b = 6.1470 Å, c = 6.1470 Å
α = 90.00°, β = 90.00°, γ = 90.00°
Space group F-43m (No. 216)
Asymmetric unit:
Al1 0.0000 0.0000 0.0000 x4
Al2 0.2500 0.2500 0.2500 x4
Ir1 0.2500 0.2500 0.7500 x4
Ru1 0.0000 0.0000 0.5000 x4


Compound: La4Cu
Source: Alexandria
Functional: PBE
Structure: relaxed

Values from the calculation:
Total magnetic moment (μB/atom): 0.000
Electronic total energy (eV/atom): -4.368
ΔH_f (0 K) (meV/atom): 393.0
Calculated volume (Å³/cell): 341.6
ΔE to the lowest computed polymorph (eV per atom): 0.448

a = 4.1684 Å, b = 4.1684 Å, c = 19.6624 Å
α = 90.00°, β = 90.00°, γ = 90.00°
Space group I4/mmm (No. 139)
Asymmetric unit:
La1 0.0000 0.0000 0.0777 x4
La2 0.0000 0.5000 0.2500 x4
Cu1 0.0000 0.0000 0.5000 x2